Compound: Li4TcSnO6
Source: OQMD via LeMat-Bulk
Functional: PBE
Structure: relaxed

a b c (Å): 5.2407 5.2407 5.1620
angles (deg): 99.82 99.82 119.89
Closest atoms and distances in Å follow each position.
Element x y z (fractional)
Li (0.3449, 0.6551, 0.5000)  6 O 2.10-2.23
O (0.4270, 0.0758, 0.7627)  1 Tc 2.04, 1 Sn 2.09, 4 Li 2.16-2.27
O (0.2299, 0.2346, 0.2407)  1 Tc 2.06, 1 Sn 2.09, 4 Li 2.10-2.17
Sn (0.1666, 0.8334, 0.0000)  6 O 2.08-2.09
O (0.9242, 0.5730, 0.2373)  1 Tc 2.04, 1 Sn 2.09, 4 Li 2.16-2.27
Li (0.9916, 0.0084, 0.5000)  6 O 2.10-2.27
O (0.5858, 0.9293, 0.2366)  1 Tc 2.04, 1 Sn 2.08, 4 Li 2.12-2.23
Tc (0.8327, 0.1672, 0.0000)  6 O 2.04-2.06
O (0.7654, 0.7701, 0.7593)  1 Tc 2.06, 1 Sn 2.09, 4 Li 2.10-2.17
O (0.0707, 0.4142, 0.7634)  1 Tc 2.04, 1 Sn 2.08, 4 Li 2.12-2.23
Li (0.5003, 0.4997, 0.0000)  6 O 2.15-2.17
Li (0.6610, 0.3390, 0.5000)  6 O 2.14-2.18

Properties
The space group is C2. The total energy comes out at -6.0929 eV per atom.

***

Compound: HoGeTe3Au
Source: OQMD via LeMat-Bulk
Functional: PBE
Structure: relaxed

a b c (Å): 14.1707 4.1577 11.4759
angles (deg): 90.00 90.00 90.00
Closest atoms and distances in Å follow each position.
Element x y z (fractional)
Te (0.8852, 0.7500, 0.4497)  3 Ho 3.09-3.15, 2 Ge 3.10
Ge (0.7229, 0.2500, 0.4395)  6 Te 3.10-3.12
Te (0.8449, 0.2500, 0.7549)  1 Au 2.75
Au (0.4951, 0.2500, 0.5930)  4 Te 2.75-3.00, 2 Au 2.98
Te (0.6371, 0.7500, 0.6110)  3 Au 2.90-3.00, 1 Ho 3.05, 2 Ge 3.11
Te (0.6551, 0.7500, 0.2549)  1 Au 2.75
Ge (0.7772, 0.7500, 0.9395)  6 Te 3.10-3.12
Ho (0.5027, 0.2500, 0.1866)  6 Te 3.05-3.15, 2 Au 3.27
Ge (0.2229, 0.2500, 0.0605)  6 Te 3.10-3.12
Te (0.3852, 0.7500, 0.0503)  3 Ho 3.09-3.15, 2 Ge 3.10
Te (0.6148, 0.2500, 0.9497)  3 Ho 3.09-3.15, 2 Ge 3.10
Ho (0.4973, 0.7500, 0.8134)  6 Te 3.05-3.15, 2 Au 3.27
Te (0.3629, 0.2500, 0.3890)  3 Au 2.90-3.00, 1 Ho 3.05, 2 Ge 3.11
Te (0.1551, 0.7500, 0.2451)  1 Au 2.75
Au (0.9951, 0.2500, 0.9070)  4 Te 2.75-3.00, 2 Au 2.98
Ge (0.2772, 0.7500, 0.5605)  6 Te 3.10-3.12
Au (0.5049, 0.7500, 0.4070)  4 Te 2.75-3.00, 2 Au 2.98
Te (0.1148, 0.2500, 0.5503)  3 Ho 3.09-3.15, 2 Ge 3.10
Te (0.3449, 0.2500, 0.7451)  1 Au 2.75
Ho (0.0027, 0.2500, 0.3134)  6 Te 3.05-3.15, 2 Au 3.27
Te (0.1371, 0.7500, 0.8890)  3 Au 2.90-3.00, 1 Ho 3.05, 2 Ge 3.11
Au (0.0049, 0.7500, 0.0930)  4 Te 2.75-3.00, 2 Au 2.98
Ho (0.9973, 0.7500, 0.6866)  6 Te 3.05-3.15, 2 Au 3.27
Te (0.8630, 0.2500, 0.1110)  3 Au 2.90-3.00, 1 Ho 3.05, 2 Ge 3.11

Properties
The calculation puts the energy above the most stable polymorph in this dataset at 55 meV per atom. The space group is Pnma.